PmIO5 PBE-GGA relaxed; V = 209.2 Å³/cell; formation energy from raw total energies = -1411.6 meV/atom; total moment = 0.0 μB/f.u.
1.0
-0.502 2.740 -4.862
-2.775 -3.279 -3.598
-7.280 2.555 -0.921
I O Pm
2 10 2
Direct
0.000 0.000 0.500
0.000 0.000 0.000
0.705 0.277 0.973
0.210 0.235 0.886
0.790 0.765 0.114
0.295 0.723 0.027
0.765 0.790 0.614
0.723 0.295 0.527
0.277 0.705 0.473
0.235 0.210 0.386
0.918 0.082 0.250
0.082 0.918 0.750
0.540 0.460 0.250
0.460 0.540 0.750